Record 1
11
Lattice="-1.2945 -4.7074 -1.9100 2.7292 1.0180 -4.3588 9.7081 -4.6915 4.9830" Properties=species:S:1:pos:R:3 comment="KCd8Hg2 | Alexandria via LeMat-Bulk | GGA-PBE | optimized geometry" space_group=P4/mmm vol_a3_per_atom=29.68 e_form_ev_per_atom=0.07 dos_ef_per_ev_cell=3.90 pbc="T T T"
K 0.0000 0.0000 0.0000
Cd 6.2187 -1.8367 0.3121
Cd 4.2068 -4.6995 1.5365
Cd 4.1807 -3.5184 -1.3567
Cd 6.9621 -4.8625 0.0709
Cd 3.3975 -0.4734 -1.1359
Cd 1.3856 -3.3361 0.0884
Cd 9.0398 -3.2001 1.7602
Cd 7.0280 -6.0628 2.9845
Hg 3.3616 -1.6245 1.7254
Hg 6.3465 -3.0670 3.2575

Record 2
4
Lattice="-2.6024 -3.4887 2.0469 3.9662 -1.7234 2.1054 -1.5099 5.5552 1.8977" Properties=species:S:1:pos:R:3 comment="TbSmDyIn | Alexandria via LeMat-Bulk | GGA-PBE | optimized geometry" space_group=I-4m2 vol_a3_per_atom=29.02 e_form_ev_per_atom=-0.23 de_polymorph_mev_per_atom=0.0 dos_ef_per_ev_cell=5.93 pbc="T T T"
Tb 0.6819 -2.6060 2.0761
Sm 1.5691 0.6129 3.0396
Dy 0.0000 0.0000 0.0000
In -1.7152 -0.2697 3.0104

Record 3
4
Lattice="-3.0382 -8.6774 2.2081 -0.7840 -8.4699 4.1292 -3.4446 -7.3582 4.8368" Properties=species:S:1:pos:R:3 comment="SiPbW2 | Alexandria via LeMat-Bulk | GGA-PBE | optimized geometry" space_group=R-3m vol_a3_per_atom=17.75 de_polymorph_mev_per_atom=407.8 dos_ef_per_ev_cell=3.17 e_form_raw_ev_per_fu=3.0 pbc="T T T"
Pb -1.8167 -6.1264 2.7935
Si -5.4501 -18.3791 8.3805
W -0.0784 -0.2644 0.1206
W -3.5550 -11.9883 5.4664

Record 4
8
Lattice="-0.5802 -5.3820 6.0518 -3.4550 -6.7438 -0.8676 1.5993 -5.2527 0.9330" Properties=species:S:1:pos:R:3 comment="Zr6CdRh | Alexandria via LeMat-Bulk | GGA-PBE | optimized geometry" space_group=P-1 vol_a3_per_atom=21.44 e_form_ev_per_atom=-0.19 dos_ef_per_ev_cell=9.14 pbc="T T T"
Zr -0.3817 -7.2058 0.3963
Zr -2.7059 -14.5061 4.4086
Zr -0.8087 -5.6125 3.2437
Zr 0.2700 -2.8723 1.7086
Zr -2.0542 -10.1726 5.7209
Zr -1.6272 -11.7660 2.8735
Cd -1.2179 -8.6892 3.0586
Rh 0.0000 0.0000 0.0000

Record 5
18
Lattice="7.2065 -0.0564 -0.0400 3.5100 6.2942 -0.0400 3.5100 2.0431 5.9536" Properties=species:S:1:pos:R:3 comment="Ba2Zn3HgF12 | Alexandria via LeMat-Bulk | GGA-PBE | optimized geometry" space_group=R-3m vol_a3_per_atom=15.13 dos_ef_per_ev_cell=0.00 e_form_raw_ev_per_fu=-47.1 pbc="T T T"
Ba 8.7105 5.0702 3.5963
Ba 5.5160 3.2107 2.2774
Zn 3.6033 -0.0282 -0.0200
Zn 1.7550 3.1471 -0.0200
Zn 1.7550 1.0215 2.9768
Hg 0.0000 0.0000 0.0000
F 6.0763 3.5369 5.1122
F 10.6989 6.2276 2.3995
F 9.0431 7.1680 5.0842
F 8.2129 2.3235 1.6480
F 10.6989 4.3234 5.0842
F 6.0763 5.9940 1.6480
F 8.1501 4.7440 0.7614
F 3.5276 2.0533 3.4741
F 5.1834 1.1129 0.7894
F 6.0135 5.9575 4.2256
F 3.5276 3.9576 0.7894
F 8.1501 2.2869 4.2256

Record 6
4
Lattice="-0.8601 0.0226 -3.2659 -2.8831 -2.9816 0.7387 -5.6269 5.8182 1.5221" Properties=species:S:1:pos:R:3 comment="BaZr2Cd | Alexandria via LeMat-Bulk | GGA-PBE | optimized geometry" space_group=Pmmm vol_a3_per_atom=29.30 e_form_ev_per_atom=0.37 dos_ef_per_ev_cell=6.38 pbc="T T T"
Ba -3.2783 -0.0250 -0.8831
Cd -6.0918 2.8841 -0.1221
Zr -5.1894 5.3658 1.4037
Zr -3.2510 3.3615 0.8794

Record 7
12
Lattice="5.5811 0.0000 0.0000 2.7906 5.5811 0.6487 2.7906 3.2724 7.7635" Properties=species:S:1:pos:R:3 comment="Cd3Pd4Au5 | Alexandria via LeMat-Bulk | GGA-PBE | optimized geometry" space_group=C2/m vol_a3_per_atom=19.16 e_form_ev_per_atom=-0.04 dos_ef_per_ev_cell=3.98 pbc="T T T"
Cd 2.7906 0.6507 1.3787
Cd 2.7906 4.4268 4.2061
Cd 8.3717 8.2029 7.0336
Pd 8.3717 5.4679 6.7924
Pd 5.5811 7.2314 4.5930
Pd 5.5811 1.6221 3.8193
Pd 2.7906 3.3856 1.6198
Au 5.5811 5.4976 6.7868
Au 5.5811 4.4268 4.2061
Au 5.5811 8.2871 7.1423
Au 5.5811 0.5664 1.2700
Au 5.5811 3.3559 1.6254

Record 8
4
Lattice="-0.9657 4.5754 -1.4772 -3.7768 2.4563 1.9368 0.8204 3.7761 3.0194" Properties=species:S:1:pos:R:3 comment="LiCdAgSb | Alexandria via LeMat-Bulk | GGA-PBE | optimized geometry" space_group=F-43m vol_a3_per_atom=20.85 dos_ef_per_ev_cell=1.86 e_form_raw_ev_per_fu=-0.6 pbc="T T T"
Sb -2.9415 8.1058 2.6092
Li 0.0000 0.0000 0.0000
Ag -1.9610 5.4039 1.7395
Cd -0.9805 2.7019 0.8697

Record 9
12
Lattice="4.1087 0.0263 -0.0829 0.0313 4.1087 -0.0829 1.7637 1.7615 14.0551" Properties=species:S:1:pos:R:3 comment="NdPu2Ge2Pt7 | Alexandria via LeMat-Bulk | GGA-PBE | optimized geometry" space_group=C2/m vol_a3_per_atom=19.87 e_form_ev_per_atom=-0.76 dos_ef_per_ev_cell=27.93 pbc="T T T"
Nd 0.0000 0.0000 0.0000
Pu 4.3302 4.3249 5.0167
Pu 1.5736 1.5716 8.8727
Ge 3.7659 3.7613 10.3530
Ge 2.1379 2.1353 3.5364
Pt 2.0700 2.0675 -0.0829
Pt 2.3104 2.3076 5.9732
Pt 3.5934 3.5890 7.9162
Pt 4.1643 2.1232 2.1054
Pt 2.1283 4.1617 2.1054
Pt 3.7754 1.7349 11.7840
Pt 1.7395 3.7733 11.7840

Record 10
19
Lattice="8.7080 -0.3846 -2.4598 -3.1498 8.1275 -2.4598 -0.2761 -0.3846 9.0445" Properties=species:S:1:pos:R:3 comment="Hg12BiPb6 | Alexandria via LeMat-Bulk | GGA-PBE | optimized geometry" space_group=R-3m vol_a3_per_atom=32.22 e_form_ev_per_atom=0.10 dos_ef_per_ev_cell=8.81 pbc="T T T"
Hg 6.7851 0.7043 2.0625
Hg 3.9580 1.1866 3.0909
Hg 2.9644 4.1296 -0.8866
Hg 5.4239 3.2287 1.0341
Hg 2.3177 3.2287 5.0116
Hg 1.3241 6.1717 1.0341
Hg 1.6368 6.6540 -1.9580
Hg -0.4987 3.6791 6.0830
Hg -1.5030 6.6540 2.0625
Hg 3.6454 0.7043 6.0830
Hg 5.7809 3.6791 -1.9580
Hg -0.1418 4.1296 3.0909
Bi 0.0000 0.0000 0.0000
Pb 5.2521 4.1366 4.1015
Pb 4.5220 6.2993 1.1785
Pb 2.2393 6.2993 4.1015
Pb 0.7602 1.0590 2.9465
Pb 0.0300 3.2217 0.0235
Pb 3.0428 1.0590 0.0235

Record 11
6
Lattice="-4.1176 -0.9940 -1.2212 0.7556 -4.2470 0.9092 -2.6117 1.2098 7.8218" Properties=species:S:1:pos:R:3 comment="CaScTe | Alexandria via LeMat-Bulk | GGA-PBE | optimized geometry" space_group=P4/nmm vol_a3_per_atom=27.00 de_polymorph_mev_per_atom=0.0 dos_ef_per_ev_cell=3.12 e_form_raw_ev_per_fu=-2.6 pbc="T T T"
Ca -1.8295 -1.1010 7.0653
Ca -2.4632 -0.3097 0.6005
Te -0.2318 -1.8411 2.2803
Te -4.0610 0.4304 5.3855
Sc -2.9869 -2.0156 3.7549
Sc -1.3059 0.6049 3.9109

Record 12
11
Lattice="5.3944 0.0285 -0.9233 -1.9102 7.4240 -3.2557 0.1123 -0.2151 8.3250" Properties=species:S:1:pos:R:3 comment="Pr8AlCu2 | Alexandria via LeMat-Bulk | GGA-PBE | optimized geometry" space_group=Cm vol_a3_per_atom=30.04 e_form_ev_per_atom=-0.02 dos_ef_per_ev_cell=15.32 pbc="T T T"
Pr 2.5243 2.3563 -0.9201
Pr 3.0090 0.5259 1.8549
Pr 0.3134 2.8170 1.8035
Pr 5.0170 1.6613 4.6430
Pr 3.9628 5.6430 -1.3932
Pr 3.2727 4.4635 2.3727
Pr 0.5742 6.7554 2.3251
Pr 1.0581 4.9275 5.0963
Al -0.0049 0.0212 0.0148
Cu 1.4151 5.0755 -0.0783
Cu 2.1728 2.2138 4.2600

Record 13
4
Lattice="9.4879 1.1499 -0.2243 6.9006 6.6125 0.2243 -8.0372 -4.2128 3.0082" Properties=species:S:1:pos:R:3 comment="Ba2CrBr | Alexandria via LeMat-Bulk | GGA-PBE | optimized geometry" space_group=Imm2 vol_a3_per_atom=41.59 de_polymorph_mev_per_atom=73.3 dos_ef_per_ev_cell=4.72 e_form_raw_ev_per_fu=-1.0 pbc="T T T"
Ba 15.5366 7.3589 0.0000
Ba 4.1042 0.0689 1.3919
Br 8.9070 4.2188 0.0000
Cr 4.3864 3.5466 1.6163

Record 14
5
Lattice="-4.1288 -3.4181 1.2059 2.6330 -4.0846 -2.5627 2.4972 -1.3513 4.7197" Properties=species:S:1:pos:R:3 comment="BaCa2TlRu | Alexandria via LeMat-Bulk | GGA-PBE | optimized geometry" space_group=P4/mmm vol_a3_per_atom=33.25 e_form_ev_per_atom=0.00 dos_ef_per_ev_cell=4.59 pbc="T T T"
Ru 0.0000 0.0000 0.0000
Tl 1.2486 -0.6757 2.3598
Ca 1.3165 -2.0423 -1.2813
Ca -2.0644 -1.7090 0.6030
Ba 0.5007 -4.4270 1.6815

Record 15
15
Lattice="-2.6769 2.0187 -3.9053 2.7194 -4.3705 -3.0922 -6.7389 -2.7032 2.3480" Properties=species:S:1:pos:R:3 comment="Ti2F13 | Alexandria via LeMat-Bulk | GGA-PBE | optimized geometry" space_group=P-1 vol_a3_per_atom=14.85 dos_ef_per_ev_cell=10.65 e_form_raw_ev_per_fu=-32.1 pbc="T T T"
Ti -3.8902 -3.6014 -4.3017
Ti -2.8063 -1.4536 -0.3479
F -6.6157 -3.6419 -1.8089
F -0.0807 -1.4131 -2.8407
F 0.0000 0.0000 0.0000
F -1.3274 -4.8005 -2.2095
F -5.3691 -0.2545 -2.4400
F -5.3977 -2.7900 -3.8353
F -1.2987 -2.2650 -0.8143
F -2.6361 -2.5688 -3.6171
F -4.0604 -2.4862 -1.0324
F -3.8819 -4.9930 -3.1462
F -2.8145 -0.0620 -1.5033
F -7.8741 -0.7968 -2.1806
F 1.1776 -4.2582 -2.4690

Record 16
10
Lattice="-0.5633 1.6004 -8.0662 8.0175 -1.6908 -0.8954 -0.6598 -2.8532 -0.5200" Properties=species:S:1:pos:R:3 comment="Al2Ag2Pb | Alexandria via LeMat-Bulk | GGA-PBE | optimized geometry" space_group=P4/mbm vol_a3_per_atom=20.21 e_form_ev_per_atom=0.08 de_polymorph_mev_per_atom=20.3 dos_ef_per_ev_cell=2.36 pbc="T T T"
Pb 0.0000 0.0000 0.0000
Pb 3.7271 -0.0452 -4.4808
Al 6.8145 -0.8794 -3.8207
Al 4.5061 0.3482 -7.6275
Al 0.6397 0.7890 -5.1408
Al 2.9481 -0.4386 -1.3340
Ag 4.9486 -2.2874 -2.2341
Ag 5.9444 -1.7566 -6.4099
Ag 1.8459 -0.6562 -7.2474
Ag 0.8500 -1.1870 -3.0717

Record 17
5
Lattice="5.4165 0.0000 0.0000 0.0000 5.4165 0.0000 0.0000 0.0000 5.4165" Properties=species:S:1:pos:R:3 comment="TaSn3Sb | Alexandria via LeMat-Bulk | GGA-PBE | optimized geometry" space_group=Pm-3m vol_a3_per_atom=31.78 de_polymorph_mev_per_atom=0.0 dos_ef_per_ev_cell=5.44 e_form_raw_ev_per_fu=2.9 pbc="T T T"
Sb 2.7083 2.7083 2.7083
Sn 0.0000 2.7083 0.0000
Sn 0.0000 0.0000 2.7083
Sn 2.7083 0.0000 0.0000
Ta 0.0000 0.0000 0.0000

Record 18
5
Lattice="5.6117 0.0000 0.0000 0.0000 5.6117 0.0000 2.8059 2.8059 3.9374" Properties=species:S:1:pos:R:3 comment="Ca2HgIr2 | Alexandria via LeMat-Bulk | GGA-PBE | optimized geometry" space_group=I4/mmm vol_a3_per_atom=24.80 e_form_ev_per_atom=0.03 dos_ef_per_ev_cell=2.30 pbc="T T T"
Ca 5.6117 2.8059 1.9687
Ca 2.8059 5.6117 1.9687
Ir 2.8059 2.8059 1.2157
Ir 5.6117 5.6117 2.7217
Hg 0.0000 0.0000 0.0000

Record 19
12
Lattice="7.5255 -0.1714 -0.0040 -0.2034 7.3140 -0.0082 0.0037 0.0115 9.1245" Properties=species:S:1:pos:R:3 comment="SrPaIn2Br8 | Alexandria via LeMat-Bulk | GGA-PBE | optimized geometry" space_group=P2/m vol_a3_per_atom=41.83 dos_ef_per_ev_cell=0.85 e_form_raw_ev_per_fu=-16.2 pbc="T T T"
Sr 0.0019 0.0058 4.5622
Pa 0.0000 0.0000 0.0000
In 3.6639 3.5770 6.7722
In 3.6620 3.5771 2.3401
Br 0.8152 5.6580 2.0854
Br 4.9598 5.7309 9.1138
Br 6.5071 1.4888 2.0863
Br 6.5106 1.4960 7.0268
Br 2.3661 1.4232 -0.0015
Br 0.8188 5.6653 7.0259
Br 4.8787 5.3493 4.5547
Br 2.4471 1.8047 4.5576

Record 20
12
Lattice="4.3066 0.0000 0.0000 0.0000 5.2304 0.0000 0.0000 0.0000 9.2698" Properties=species:S:1:pos:R:3 comment="SmZn10Cd | Alexandria via LeMat-Bulk | GGA-PBE | optimized geometry" space_group=Pmmm vol_a3_per_atom=17.40 e_form_ev_per_atom=-0.12 dos_ef_per_ev_cell=4.01 pbc="T T T"
Sm 0.0000 2.6152 4.6349
Zn 0.0000 0.0000 2.8682
Zn 0.0000 2.6152 7.8236
Zn 0.0000 2.6152 1.4462
Zn 0.0000 0.0000 6.4016
Zn 2.1533 0.0000 4.6349
Zn 2.1533 2.6152 0.0000
Zn 2.1533 1.3615 2.4384
Zn 2.1533 3.8689 6.8314
Zn 2.1533 3.8689 2.4384
Zn 2.1533 1.3615 6.8314
Cd 0.0000 0.0000 0.0000